Below is CaBe2Sb2 at its PBEsol-relaxed geometry, with properties calculated at the SCAN level.

Output
As for the density of states at the Fermi level: 0.47 states/eV/cell. For the magnetic moment, the calculation gives 0.0 μB/cell. Its electronic total energy is -18.801 eV per atom.

a = 7.3897 Å, b = 7.3897 Å, c = 7.3897 Å
α = 149.12°, β = 149.12°, γ = 44.23°
Fractional positions:
Ca: 0.0000 0.0000 0.0000
Be: 0.2500 0.7500 0.5000
Be: 0.7500 0.2500 0.5000
Sb: 0.3637 0.3637 0.0000
Sb: 0.6363 0.6363 0.0000